Crystalline Nd2Zn5Cd at its relaxed geometry, computed with PBE.

Computed properties:
* energy of formation: -0.308 eV per atom
* space-group type: Cmcm
* DOS at the Fermi energy: 4.99 states/eV/f.u.

Unit cell a=8.627 b=8.627 c=9.107 alpha=90.00 beta=90.00 gamma=150.11
Sites, in units of the cell vectors:
Nd 0.000 0.000 0.000
Nd 0.000 0.000 0.500
Nd 0.206 0.794 0.750
Nd 0.794 0.206 0.250
Zn 0.184 0.816 0.108
Zn 0.184 0.816 0.392
Zn 0.345 0.655 0.018
Zn 0.345 0.655 0.482
Zn 0.396 0.604 0.750
Zn 0.604 0.396 0.250
Zn 0.655 0.345 0.518
Zn 0.655 0.345 0.982
Zn 0.816 0.184 0.608
Zn 0.816 0.184 0.892
Cd 0.445 0.555 0.250
Cd 0.555 0.445 0.750

Crystalline Nd2Zn4Cd at its relaxed geometry, computed with PBE.

Computed properties:
* energy of formation: -0.124 eV per atom
* space-group type: R-3m
* DOS at the Fermi energy: 3.38 states/eV/f.u.

Unit cell a=8.592 b=8.592 c=8.592 alpha=32.80 beta=32.80 gamma=32.80
Sites, in units of the cell vectors:
Nd 0.250 0.250 0.250
Nd 0.750 0.750 0.750
Zn 0.127 0.127 0.127
Zn 0.375 0.375 0.375
Zn 0.625 0.625 0.625
Zn 0.873 0.873 0.873
Cd 0.000 0.000 0.000

Crystalline Nd3Zn2Cd3 at its relaxed geometry, computed with PBE.

Computed properties:
* energy of formation: -0.284 eV per atom
* space-group type: P-62m
* DOS at the Fermi energy: 7.11 states/eV/f.u.

Unit cell a=7.720 b=7.720 c=4.006 alpha=90.00 beta=90.00 gamma=120.00
Sites, in units of the cell vectors:
Nd 0.000 0.597 0.000
Nd 0.403 0.403 0.000
Nd 0.597 0.000 0.000
Zn 0.333 0.667 0.500
Zn 0.667 0.333 0.500
Cd 0.000 0.234 0.500
Cd 0.234 0.000 0.500
Cd 0.766 0.766 0.500

Crystalline NdZn2Cd at its relaxed geometry, computed with PBE.

Computed properties:
* energy of formation: -0.179 eV per atom
* space-group type: P4/mmm
* DOS at the Fermi energy: 4.37 states/eV/f.u.

Unit cell a=4.612 b=4.612 c=4.267 alpha=90.00 beta=90.00 gamma=90.00
Sites, in units of the cell vectors:
Nd 0.000 0.000 0.000
Zn 0.000 0.500 0.500
Zn 0.500 0.000 0.500
Cd 0.500 0.500 0.000

Crystalline Nd4ZnCd at its relaxed geometry, computed with PBE.

Computed properties:
* energy of formation: -0.194 eV per atom
* space-group type: P4/mmm
* DOS at the Fermi energy: 8.14 states/eV/f.u.

Unit cell a=3.728 b=3.728 c=12.892 alpha=90.00 beta=90.00 gamma=90.00
Sites, in units of the cell vectors:
Nd 0.000 0.000 0.141
Nd 0.000 0.000 0.859
Nd 0.500 0.500 0.341
Nd 0.500 0.500 0.659
Zn 0.500 0.500 0.000
Cd 0.000 0.000 0.500

Crystalline NdZn4Cd4 at its relaxed geometry, computed with PBE.

Computed properties:
* energy of formation: -0.064 eV per atom
* space-group type: I4/m
* DOS at the Fermi energy: 4.52 states/eV/f.u.

Unit cell a=6.801 b=6.801 c=6.801 alpha=96.92 beta=96.92 gamma=139.38
Sites, in units of the cell vectors:
Nd 0.000 0.000 0.000
Zn 0.301 0.393 0.693
Zn 0.393 0.699 0.092
Zn 0.607 0.301 0.908
Zn 0.699 0.607 0.307
Cd 0.091 0.639 0.730
Cd 0.361 0.091 0.452
Cd 0.639 0.909 0.548
Cd 0.909 0.361 0.270

Crystalline NdZnCd2 at its relaxed geometry, computed with PBE.

Computed properties:
* energy of formation: -0.140 eV per atom
* space-group type: P4/mmm
* DOS at the Fermi energy: 3.00 states/eV/f.u.

Unit cell a=3.520 b=3.520 c=7.587 alpha=90.00 beta=90.00 gamma=90.00
Sites, in units of the cell vectors:
Nd 0.000 0.000 0.000
Zn 0.000 0.000 0.500
Cd 0.500 0.500 0.291
Cd 0.500 0.500 0.709

Crystalline NdZn4Cd8 at its relaxed geometry, computed with PBE.

Computed properties:
* energy of formation: -0.129 eV per atom
* space-group type: I4/mmm
* DOS at the Fermi energy: 1.99 states/eV/f.u.

Unit cell a=7.394 b=7.394 c=7.394 alpha=98.57 beta=98.57 gamma=134.59
Sites, in units of the cell vectors:
Nd 0.000 0.000 0.000
Zn 0.000 0.000 0.500
Zn 0.000 0.500 0.000
Zn 0.500 0.000 0.000
Zn 0.500 0.500 0.500
Cd 0.000 0.346 0.346
Cd 0.000 0.654 0.654
Cd 0.283 0.500 0.783
Cd 0.346 0.000 0.346
Cd 0.500 0.283 0.783
Cd 0.500 0.717 0.217
Cd 0.654 0.000 0.654
Cd 0.717 0.500 0.217